This record from the Alexandria database describes crystalline Sr3Au at its relaxed geometry. The functional is PBE.

Unit cell a=4.2966 b=4.2966 c=11.1175 alpha=90.00 beta=90.00 gamma=120.00
Closest atoms and distances in Å follow each position.
Fractional coordinates of all 4 atoms:
Sr 0.0000 0.0000 0.0000  12 Sr 4.30-4.34
Sr 0.6667 0.3333 0.3207  3 Au 3.18
Sr 0.6667 0.3333 0.6793  3 Au 3.18
Au 0.0000 0.0000 0.5000  6 Sr 3.18

Calculated values
ΔE_f   -1.40 eV/f.u.
Calculated volume   178 Å³/f.u.
M_tot   0.0 μB per formula unit
Calculated total energy   -2.432 eV/atom
Fermi-level density of states   3.68 states/eV/f.u.